No. 1
VASP calculation (PBE) on a geometry-optimized ReCl3F3 structure.

Computed properties:
Volume   26.8 A^3/atom
Magnetic moment   1.0 Bohr magnetons per cell
Raw formation energy   -1.245 eV/atom

Cell and atoms, written as CIF:
```
data_ReCl3F3
_chemical_formula_sum 'Re1 Cl3 F3'
_space_group_name_H-M_alt 'P 1'
_space_group_IT_number 1
_space_group_name_Hall 'P 1'
_cell_length_a 6.3178
_cell_length_b 6.3178
_cell_length_c 6.3178
_cell_angle_alpha 110.35
_cell_angle_beta 110.35
_cell_angle_gamma 110.35
loop_
_atom_site_label
_atom_site_fract_x
_atom_site_fract_y
_atom_site_fract_z
Re1 0.0000 0.0000 0.0000
Cl1 0.5714 0.8716 0.8716
Cl2 0.8716 0.5714 0.8716
Cl3 0.8716 0.8716 0.5714
F1 0.0450 0.2854 0.2854
F2 0.2854 0.0450 0.2854
F3 0.2854 0.2854 0.0450
```



No. 2
VASP calculation (PBE) on a geometry-optimized NaGe2Bi structure.

Computed properties:
Volume   26.4 A^3/atom
ΔH_f (0 K)   0.16 eV/atom
Magnetic moment   0.0 Bohr magnetons per cell

Cell and atoms, written as CIF:
```
data_NaGe2Bi
_chemical_formula_sum 'Na4 Ge8 Bi4'
_space_group_name_H-M_alt 'P 1'
_space_group_IT_number 1
_space_group_name_Hall 'P 1'
_cell_length_a 8.3189
_cell_length_b 8.3189
_cell_length_c 6.1021
_cell_angle_alpha 90.00
_cell_angle_beta 90.00
_cell_angle_gamma 90.00
loop_
_atom_site_label
_atom_site_fract_x
_atom_site_fract_y
_atom_site_fract_z
Na1 0.0000 0.0000 0.0000
Na2 0.0000 0.5000 0.2500
Na3 0.5000 0.0000 0.7500
Na4 0.5000 0.5000 0.5000
Ge1 0.2247 0.2500 0.6250
Ge2 0.2500 0.7247 0.8750
Ge3 0.2500 0.7753 0.3750
Ge4 0.2753 0.2500 0.1250
Ge5 0.7247 0.7500 0.1250
Ge6 0.7500 0.2247 0.3750
Ge7 0.7500 0.2753 0.8750
Ge8 0.7753 0.7500 0.6250
Bi1 0.0000 0.0000 0.5000
Bi2 0.0000 0.5000 0.7500
Bi3 0.5000 0.0000 0.2500
Bi4 0.5000 0.5000 0.0000
```



No. 3
VASP calculation (PBE) on a geometry-optimized ReSi2BAs structure.

Computed properties:
Volume   14.1 A^3/atom
Magnetic moment   0.8 Bohr magnetons per cell
Raw formation energy   1.058 eV/atom

Cell and atoms, written as CIF:
```
data_ReSi2BAs
_chemical_formula_sum 'Re1 Si2 B1 As1'
_space_group_name_H-M_alt 'P 1'
_space_group_IT_number 1
_space_group_name_Hall 'P 1'
_cell_length_a 3.9142
_cell_length_b 3.9142
_cell_length_c 4.5921
_cell_angle_alpha 90.00
_cell_angle_beta 90.00
_cell_angle_gamma 90.00
loop_
_atom_site_label
_atom_site_fract_x
_atom_site_fract_y
_atom_site_fract_z
Re1 0.0000 0.0000 0.0000
Si1 0.0000 0.5000 0.5000
Si2 0.5000 0.0000 0.5000
B1 0.5000 0.5000 0.5000
As1 0.5000 0.5000 0.0000
```



No. 4
VASP calculation (PBE) on a geometry-optimized PuNb2Mo structure.

Computed properties:
Volume   18.5 A^3/atom
ΔE to the lowest computed polymorph   117.9 meV/atom
ΔH_f (0 K)   0.25 eV/atom
Magnetic moment   4.4 Bohr magnetons per cell

Cell and atoms, written as CIF:
```
data_PuNb2Mo
_chemical_formula_sum 'Pu1 Nb2 Mo1'
_space_group_name_H-M_alt 'P 1'
_space_group_IT_number 1
_space_group_name_Hall 'P 1'
_cell_length_a 4.8177
_cell_length_b 4.8177
_cell_length_c 3.1902
_cell_angle_alpha 90.00
_cell_angle_beta 90.00
_cell_angle_gamma 90.00
loop_
_atom_site_label
_atom_site_fract_x
_atom_site_fract_y
_atom_site_fract_z
Pu1 0.0000 0.0000 0.0000
Nb1 0.0000 0.5000 0.5000
Nb2 0.5000 0.0000 0.5000
Mo1 0.5000 0.5000 0.0000
```



No. 5
VASP calculation (PBE) on a geometry-optimized AgTe2Pd7 structure.

Computed properties:
Volume   20.7 A^3/atom
ΔE to the lowest computed polymorph   181.7 meV/atom
Magnetic moment   0.0 Bohr magnetons per cell
Raw formation energy   0.002 eV/atom

Cell and atoms, written as CIF:
```
data_AgTe2Pd7
_chemical_formula_sum 'Ag1 Te2 Pd7'
_space_group_name_H-M_alt 'P 1'
_space_group_IT_number 1
_space_group_name_Hall 'P 1'
_cell_length_a 8.0996
_cell_length_b 8.0996
_cell_length_c 3.8540
_cell_angle_alpha 90.00
_cell_angle_beta 90.00
_cell_angle_gamma 125.01
loop_
_atom_site_label
_atom_site_fract_x
_atom_site_fract_y
_atom_site_fract_z
Ag1 0.0000 0.0000 0.0000
Te1 0.3162 0.6838 0.5000
Te2 0.6838 0.3162 0.5000
Pd1 0.0894 0.2902 0.5000
Pd2 0.1979 0.8021 0.0000
Pd3 0.2902 0.0894 0.5000
Pd4 0.5000 0.5000 0.5000
Pd5 0.7098 0.9106 0.5000
Pd6 0.8021 0.1979 0.0000
Pd7 0.9106 0.7098 0.5000
```



No. 6
VASP calculation (PBE) on a geometry-optimized Ac3Sb2Pb structure.

Computed properties:
Volume   34.5 A^3/atom
Magnetic moment   0.0 Bohr magnetons per cell
Raw formation energy   -0.808 eV/atom

Cell and atoms, written as CIF:
```
data_Ac3Sb2Pb
_chemical_formula_sum 'Ac3 Sb2 Pb1'
_space_group_name_H-M_alt 'P 1'
_space_group_IT_number 1
_space_group_name_Hall 'P 1'
_cell_length_a 5.7634
_cell_length_b 4.2656
_cell_length_c 8.5306
_cell_angle_alpha 90.00
_cell_angle_beta 99.55
_cell_angle_gamma 90.00
loop_
_atom_site_label
_atom_site_fract_x
_atom_site_fract_y
_atom_site_fract_z
Ac1 0.0000 0.0000 0.0000
Ac2 0.3107 0.0000 0.6550
Ac3 0.6893 0.0000 0.3450
Sb1 0.1941 0.5000 0.3198
Sb2 0.8059 0.5000 0.6802
Pb1 0.5000 0.5000 0.0000
```



No. 7
VASP calculation (PBE) on a geometry-optimized YInGa2Cl6 structure.

Computed properties:
Volume   32.6 A^3/atom
Magnetic moment   0.0 Bohr magnetons per cell
Raw formation energy   -1.360 eV/atom

Cell and atoms, written as CIF:
```
data_YInGa2Cl6
_chemical_formula_sum 'Y1 In1 Ga2 Cl6'
_space_group_name_H-M_alt 'P 1'
_space_group_IT_number 1
_space_group_name_Hall 'P 1'
_cell_length_a 7.5191
_cell_length_b 7.5302
_cell_length_c 7.9444
_cell_angle_alpha 90.02
_cell_angle_beta 118.24
_cell_angle_gamma 119.95
loop_
_atom_site_label
_atom_site_fract_x
_atom_site_fract_y
_atom_site_fract_z
Y1 0.0000 0.0000 0.0000
In1 0.9758 0.4878 0.4642
Ga1 0.3750 0.6879 0.0625
Ga2 0.3922 0.1960 0.5891
Cl1 0.1475 0.2432 0.7938
Cl2 0.1841 0.3670 0.2594
Cl3 0.4429 0.0749 0.2589
Cl4 0.5502 0.9043 0.7946
Cl5 0.8899 0.6462 0.7947
Cl6 0.8927 0.8175 0.2601
```



No. 8
VASP calculation (PBE) on a geometry-optimized NbCr2Co2 structure.

Computed properties:
Volume   12.5 A^3/atom
ΔE to the lowest computed polymorph   16.8 meV/atom
ΔH_f (0 K)   0.12 eV/atom
Magnetic moment   0.0 Bohr magnetons per cell

Cell and atoms, written as CIF:
```
data_NbCr2Co2
_chemical_formula_sum 'Nb2 Cr4 Co4'
_space_group_name_H-M_alt 'P 1'
_space_group_IT_number 1
_space_group_name_Hall 'P 1'
_cell_length_a 6.9872
_cell_length_b 6.9872
_cell_length_c 2.5561
_cell_angle_alpha 90.00
_cell_angle_beta 90.00
_cell_angle_gamma 90.00
loop_
_atom_site_label
_atom_site_fract_x
_atom_site_fract_y
_atom_site_fract_z
Nb1 0.0000 0.0000 0.0000
Nb2 0.5000 0.5000 0.0000
Cr1 0.1188 0.3812 0.0000
Cr2 0.3812 0.8812 0.0000
Cr3 0.6188 0.1188 0.0000
Cr4 0.8812 0.6188 0.0000
Co1 0.1752 0.6752 0.5000
Co2 0.3248 0.1752 0.5000
Co3 0.6752 0.8248 0.5000
Co4 0.8248 0.3248 0.5000
```



The records above give, respectively, theoretical density values of 3.095; 5.934; 7.744; 11.790; 8.885; 9.087; 2.827; 8.377 Mg/m³.